# 1
# Y5Zn4In PBE optimized geometry
# - D(E_F): 0.97 states/eV/atom
# - E_form: -0.394 eV/atom
# - Total DFT energy (no corrections): -44.10 eV per formula unit
# - Size of the total moment: 0.0 μB/cell
data_Y5Zn4In
_chemical_formula_sum 'Y5 Zn4 In1'
_space_group_name_H-M_alt 'P 4/m m m'
_space_group_IT_number 123
_space_group_name_Hall '-P 4 2'
_cell_length_a 3.595
_cell_length_b 3.595
_cell_length_c 18.331
_cell_angle_alpha 90.00
_cell_angle_beta 90.00
_cell_angle_gamma 90.00
loop_
_atom_site_label
_atom_site_type_symbol
_atom_site_fract_x
_atom_site_fract_y
_atom_site_fract_z
_atom_site_occupancy
Y1 Y 0.000 0.000 0.000 1
Y2 Y 0.000 0.000 0.194 1
Y3 Y 0.000 0.000 0.387 1
Zn1 Zn 0.500 0.500 0.098 1
Zn2 Zn 0.500 0.500 0.290 1
In1 In 0.500 0.500 0.500 1

# 2
# Y2ZnIn PBE optimized geometry
# - D(E_F): 1.36 states/eV/atom
# - E_form: 0.072 eV/atom
# - Total DFT energy (no corrections): -16.65 eV per formula unit
# - Size of the total moment: 0.0 μB/cell
data_Y2ZnIn
_chemical_formula_sum 'Y8 Zn4 In4'
_space_group_name_H-M_alt 'F -4 3 m'
_space_group_IT_number 216
_space_group_name_Hall 'F -4 2 3'
_cell_length_a 7.430
_cell_length_b 7.430
_cell_length_c 7.430
_cell_angle_alpha 90.00
_cell_angle_beta 90.00
_cell_angle_gamma 90.00
loop_
_atom_site_label
_atom_site_type_symbol
_atom_site_fract_x
_atom_site_fract_y
_atom_site_fract_z
_atom_site_occupancy
Y1 Y 0.000 0.000 0.000 1
Y2 Y 0.250 0.250 0.250 1
Zn1 Zn 0.250 0.250 0.750 1
In1 In 0.000 0.000 0.500 1

# 3
# Y2ZnIn PBE optimized geometry
# - D(E_F): 0.83 states/eV/atom
# - E_form: -0.194 eV/atom
# - Total DFT energy (no corrections): -17.72 eV per formula unit
# - Size of the total moment: 0.0 μB/cell
data_Y2ZnIn
_chemical_formula_sum 'Y2 Zn1 In1'
_space_group_name_H-M_alt 'P m m 2'
_space_group_IT_number 25
_cell_length_a 3.592
_cell_length_b 4.723
_cell_length_c 6.281
_cell_angle_alpha 90.00
_cell_angle_beta 90.00
_cell_angle_gamma 90.00
loop_
_space_group_symop_operation_xyz
'x,y,z'
'-x,-y,z'
'-x,y,z'
'x,-y,z'
loop_
_atom_site_label
_atom_site_type_symbol
_atom_site_fract_x
_atom_site_fract_y
_atom_site_fract_z
_atom_site_occupancy
Y1 Y 0.000 0.000 0.000 1
Y2 Y 0.500 0.500 0.333 1
Zn1 Zn 0.000 0.000 0.497 1
In1 In 0.500 0.500 0.820 1

# 4
# Y2Zn5In PBE optimized geometry
# - D(E_F): 0.69 states/eV/atom
# - E_form: -0.354 eV/atom
# - Total DFT energy (no corrections): -24.87 eV per formula unit
# - Size of the total moment: 0.0 μB/cell
data_Y2Zn5In
_chemical_formula_sum 'Y8 Zn20 In4'
_space_group_name_H-M_alt 'C m c m'
_space_group_IT_number 63
_space_group_name_Hall '-C 2c 2'
_cell_length_a 4.343
_cell_length_b 16.243
_cell_length_c 9.081
_cell_angle_alpha 90.00
_cell_angle_beta 90.00
_cell_angle_gamma 90.00
loop_
_atom_site_label
_atom_site_type_symbol
_atom_site_fract_x
_atom_site_fract_y
_atom_site_fract_z
_atom_site_occupancy
Y1 Y 0.000 0.000 0.000 1
Y2 Y 0.000 0.202 0.250 1
Zn1 Zn 0.000 0.188 0.609 1
Zn2 Zn 0.000 0.347 0.518 1
Zn3 Zn 0.000 0.391 0.250 1
In1 In 0.000 0.448 0.750 1

Repeat the first record exactly.
# Y5Zn4In PBE optimized geometry
# - D(E_F): 0.97 states/eV/atom
# - E_form: -0.394 eV/atom
# - Total DFT energy (no corrections): -44.10 eV per formula unit
# - Size of the total moment: 0.0 μB/cell
data_Y5Zn4In
_chemical_formula_sum 'Y5 Zn4 In1'
_space_group_name_H-M_alt 'P 4/m m m'
_space_group_IT_number 123
_space_group_name_Hall '-P 4 2'
_cell_length_a 3.595
_cell_length_b 3.595
_cell_length_c 18.331
_cell_angle_alpha 90.00
_cell_angle_beta 90.00
_cell_angle_gamma 90.00
loop_
_atom_site_label
_atom_site_type_symbol
_atom_site_fract_x
_atom_site_fract_y
_atom_site_fract_z
_atom_site_occupancy
Y1 Y 0.000 0.000 0.000 1
Y2 Y 0.000 0.000 0.194 1
Y3 Y 0.000 0.000 0.387 1
Zn1 Zn 0.500 0.500 0.098 1
Zn2 Zn 0.500 0.500 0.290 1
In1 In 0.500 0.500 0.500 1

total DFT energy (no corrections) of number 3 (Y2ZnIn)?
-17.72 eV per formula unit